No. 1
DFT (PBE-GGA) results for Rh2Se after structural relaxation.

Cell lengths 3.968, 3.968, 3.481 Å; angles 90.00, 90.00, 120.00 degrees
Fractional coordinates of all 3 atoms:
Rh 0.667 0.333 0.255
Rh 0.333 0.667 0.745
Se 0.000 0.000 0.000

Properties
Calculated volume: 47.5 Å³/cell
Symmetry: P-3m1 (164)
Polymorph energy (0 for the lowest one): 159 meV/atom
Energy relative to the elements, uncorrected: -0.058 eV per atom

No. 2
DFT (PBE-GGA) results for Rh2Se after structural relaxation.

Cell lengths 3.618, 3.929, 6.780 Å; angles 90.00, 90.00, 90.00 degrees
Fractional coordinates of all 6 atoms:
Rh 0.745 0.000 0.334
Rh 0.255 0.000 0.666
Rh 0.245 0.500 0.166
Rh 0.755 0.500 0.834
Se 0.000 0.000 0.000
Se 0.500 0.500 0.500

Properties
Calculated volume: 96.4 Å³/cell
Symmetry: Pnnm (58)
Polymorph energy (0 for the lowest one): 141 meV/atom
Energy relative to the elements, uncorrected: -0.076 eV per atom

No. 3
DFT (PBE-GGA) results for Rh4Se5 after structural relaxation.

Cell lengths 7.253, 7.253, 7.134 Å; angles 90.00, 90.00, 120.00 degrees
Fractional coordinates of all 18 atoms:
Rh 0.000 0.000 0.000
Rh 0.000 0.000 0.500
Rh 0.000 0.431 0.250
Rh 0.569 0.569 0.250
Rh 0.431 0.000 0.250
Rh 0.000 0.569 0.750
Rh 0.431 0.431 0.750
Rh 0.569 0.000 0.750
Se 0.000 0.760 0.250
Se 0.240 0.240 0.250
Se 0.760 0.000 0.250
Se 0.000 0.240 0.750
Se 0.760 0.760 0.750
Se 0.240 0.000 0.750
Se 0.667 0.333 0.000
Se 0.333 0.667 0.500
Se 0.333 0.667 0.000
Se 0.667 0.333 0.500

Properties
Calculated volume: 325.0 Å³/cell
Symmetry: P6_3/mcm (193)
Polymorph energy (0 for the lowest one): 0 meV/atom
Energy relative to the elements, uncorrected: 0.017 eV per atom

No. 4
DFT (PBE-GGA) results for Rh2Se after structural relaxation.

Cell lengths 5.214, 5.214, 5.214 Å; angles 60.00, 60.00, 60.00 degrees
Fractional coordinates of all 6 atoms:
Rh 0.125 0.625 0.125
Rh 0.125 0.125 0.125
Rh 0.625 0.125 0.125
Rh 0.125 0.125 0.625
Se 0.750 0.750 0.750
Se 0.500 0.500 0.500

Properties
Calculated volume: 100.2 Å³/cell
Symmetry: Fd-3m (227)
Polymorph energy (0 for the lowest one): 812 meV/atom
Energy relative to the elements, uncorrected: 0.596 eV per atom

No. 5
DFT (PBE-GGA) results for Rh2Se after structural relaxation.

Cell lengths 5.579, 5.579, 5.227 Å; angles 81.55, 81.55, 35.97 degrees
Fractional coordinates of all 6 atoms:
Rh 0.021 0.021 0.020
Rh 0.697 0.697 0.612
Rh 0.334 0.334 0.236
Rh 0.388 0.388 0.719
Se 0.025 0.025 0.510
Se 0.701 0.701 0.070

Properties
Calculated volume: 94.4 Å³/cell
Symmetry: Cm (8)
Polymorph energy (0 for the lowest one): 212 meV/atom
Energy relative to the elements, uncorrected: -0.004 eV per atom

No. 6
DFT (PBE-GGA) results for RhSe3 after structural relaxation.

Cell lengths 4.661, 4.661, 3.630 Å; angles 90.00, 90.00, 108.05 degrees
Fractional coordinates of all 4 atoms:
Rh 0.000 0.000 0.000
Se 0.000 0.500 0.500
Se 0.500 0.000 0.500
Se 0.500 0.500 0.000

Properties
Calculated volume: 75.0 Å³/cell
Symmetry: Cmmm (65)
Energy relative to the elements, uncorrected: 0.521 eV per atom